No. 1
## CaW2Au (PBEsol)

Data for a relaxed structure of CaW2Au.

POSCAR file:
```
CaW2Au
1.0
3.064 0.000 0.000
0.000 4.565 0.000
0.000 0.000 5.117
Ca W Au
1 2 1
Direct
0.000 0.000 0.000
0.000 0.500 0.500
0.500 0.000 0.500
0.500 0.500 0.000
```

Results
**Spin magnetization**: 0.00 μB/cell
**Calculated total energy**: -7.856 eV/atom
**D(E_F)**: 3.48 states/eV per cell
**Volume**: 17.9 A^3/atom

No. 2
## CaWAu2 (PBEsol)

Data for a relaxed structure of CaWAu2.

POSCAR file:
```
CaWAu2
1.0
2.837 0.000 0.000
0.000 4.431 0.000
0.000 0.000 5.961
Ca W Au
1 1 2
Direct
0.000 0.000 0.000
0.500 0.500 0.332
0.000 0.000 0.484
0.500 0.500 0.789
```

Results
**Spin magnetization**: 0.27 μB/cell
**Calculated total energy**: -5.627 eV/atom
**D(E_F)**: 3.49 states/eV per cell
**Volume**: 18.7 A^3/atom

No. 3
## CaWAu2 (PBEsol)

Data for a relaxed structure of CaWAu2.

POSCAR file:
```
CaWAu2
1.0
0.000 3.349 3.349
3.349 0.000 3.349
3.349 3.349 0.000
Ca W Au
1 1 2
Direct
0.000 0.000 0.000
0.500 0.500 0.500
0.250 0.250 0.250
0.750 0.750 0.750
```

Results
**Spin magnetization**: 1.69 μB/cell
**Calculated total energy**: -5.578 eV/atom
**D(E_F)**: 4.43 states/eV per cell
**Volume**: 18.8 A^3/atom

No. 4
## CaWAu2 (PBEsol)

Data for a relaxed structure of CaWAu2.

POSCAR file:
```
CaWAu2
1.0
-1.477 2.442 5.169
1.477 -2.442 5.169
1.477 2.442 -5.169
Ca W Au
1 1 2
Direct
0.000 0.000 0.000
0.278 0.778 0.500
0.501 0.501 0.000
0.736 0.236 0.500
```

Results
**Spin magnetization**: 0.49 μB/cell
**Calculated total energy**: -5.659 eV/atom
**D(E_F)**: 4.47 states/eV per cell
**Volume**: 18.6 A^3/atom

No. 5
## CaW2Au (PBEsol)

Data for a relaxed structure of CaW2Au.

POSCAR file:
```
CaW2Au
1.0
2.803 0.000 0.000
0.000 5.190 0.000
-0.310 0.000 4.995
Ca W Au
1 2 1
Direct
0.000 0.000 0.000
0.356 0.500 0.751
0.644 0.500 0.249
0.500 0.000 0.500
```

Results
**Spin magnetization**: 0.00 μB/cell
**Calculated total energy**: -7.845 eV/atom
**D(E_F)**: 2.90 states/eV per cell
**Volume**: 18.2 A^3/atom

No. 6
## CaW2Au (PBEsol)

Data for a relaxed structure of CaW2Au.

POSCAR file:
```
CaW2Au
1.0
1.676 -2.247 0.000
1.676 2.247 0.000
0.000 0.000 9.430
Ca W Au
1 2 1
Direct
0.000 0.000 0.000
0.000 0.000 0.496
0.500 0.500 0.276
0.500 0.500 0.737
```

Results
**Spin magnetization**: 0.00 μB/cell
**Calculated total energy**: -8.029 eV/atom
**D(E_F)**: 3.50 states/eV per cell
**Volume**: 17.8 A^3/atom

> The highest D(E_F) belongs to which entry?

number 4

> What is the volume in the sixth record?

17.8 A^3/atom

> Look up the volume of the fifth one.

18.2 A^3/atom

> What is the volume in the first record?

17.9 A^3/atom